[1]
Material: AgHgB2
Method: DFT, PBE-GGA
State: relaxed

Computed properties:
raw total energy = -9.2 eV for the cell shown
mass density = 9.03 g cm⁻³

Lattice parameters (Å, degrees): 4.411 4.411 4.411 60.00 60.00 60.00
Fractional coordinates of all 4 atoms:
1 B 0.750 0.750 0.750
2 B 0.000 0.000 0.000
3 Hg 0.250 0.250 0.250
4 Ag 0.500 0.500 0.500



[2]
Material: NiAgHgB
Method: DFT, PBE-GGA
State: relaxed

Computed properties:
raw total energy = -11.7 eV for the cell shown
mass density = 10.87 g cm⁻³
ΔE to the lowest computed polymorph = 0.0 meV/atom

Lattice parameters (Å, degrees): 4.338 4.338 4.338 60.00 60.00 60.00
Fractional coordinates of all 4 atoms:
1 Ni 0.500 0.500 0.500
2 Hg 0.250 0.250 0.250
3 Ag 0.750 0.750 0.750
4 B 0.000 0.000 0.000



[3]
Material: NiAgHgB
Method: DFT, PBE-GGA
State: relaxed

Computed properties:
raw total energy = -11.5 eV for the cell shown
mass density = 10.75 g cm⁻³
ΔE to the lowest computed polymorph = 58.4 meV/atom

Lattice parameters (Å, degrees): 4.355 4.355 4.355 60.00 60.00 60.00
Fractional coordinates of all 4 atoms:
1 B 0.000 0.000 0.000
2 Ag 0.500 0.500 0.500
3 Hg 0.250 0.250 0.250
4 Ni 0.750 0.750 0.750



[4]
Material: HoAgB
Method: DFT, PBE-GGA
State: relaxed

Computed properties:
raw total energy = -13.7 eV for the cell shown
mass density = 8.63 g cm⁻³
ΔE to the lowest computed polymorph = 0.0 meV/atom

Lattice parameters (Å, degrees): 4.257 4.257 4.257 60.00 60.00 60.00
Fractional coordinates of all 3 atoms:
1 B 0.000 0.000 0.000
2 Ag 0.250 0.250 0.250
3 Ho 0.750 0.750 0.750



[5]
Material: HoAgB
Method: DFT, PBE-GGA
State: relaxed

Computed properties:
raw total energy = -11.5 eV for the cell shown
mass density = 7.35 g cm⁻³
ΔE to the lowest computed polymorph = 749.8 meV/atom

Lattice parameters (Å, degrees): 4.491 4.491 4.491 60.00 60.00 60.00
Fractional coordinates of all 3 atoms:
1 Ag 0.250 0.250 0.250
2 Ho 0.000 0.000 0.000
3 B 0.750 0.750 0.750



[6]
Material: AgBI6
Method: DFT, PBE-GGA
State: relaxed

Computed properties:
raw total energy = -12.5 eV for the cell shown
mass density = 4.59 g cm⁻³

Lattice parameters (Å, degrees): 7.664 7.664 7.664 60.00 60.00 60.00
Fractional coordinates of all 8 atoms:
1 I 0.507 0.993 0.993
2 I 0.993 0.507 0.993
3 I 0.993 0.993 0.507
4 I 0.507 0.507 0.993
5 I 0.507 0.993 0.507
6 I 0.993 0.507 0.507
7 B 0.000 0.000 0.000
8 Ag 0.250 0.250 0.250



[7]
Material: InAgB
Method: DFT, PBE-GGA
State: relaxed

Computed properties:
raw total energy = -9.0 eV for the cell shown
mass density = 6.89 g cm⁻³
ΔE to the lowest computed polymorph = 0.0 meV/atom

Lattice parameters (Å, degrees): 4.302 4.302 4.302 60.00 60.00 60.00
Fractional coordinates of all 3 atoms:
1 In 0.750 0.750 0.750
2 Ag 0.000 0.000 0.000
3 B 0.250 0.250 0.250



[8]
Material: InAgB4
Method: DFT, PBE-GGA
State: relaxed

Computed properties:
raw total energy = -29.0 eV for the cell shown
mass density = 6.67 g cm⁻³
ΔE to the lowest computed polymorph = 0.0 meV/atom

Lattice parameters (Å, degrees): 5.022 5.022 5.022 143.74 115.32 76.47
Fractional coordinates of all 6 atoms:
1 B 0.081 0.751 0.330
2 B 0.919 0.249 0.670
3 B 0.578 0.249 0.330
4 B 0.422 0.751 0.670
5 In 0.500 0.500 0.000
6 Ag 0.000 0.000 0.000